## HoPuFe (PBE)

Data for a geometry-optimized HoPuFe structure.

- formation energy from the elements (eV/atom) = 0.253
- offset from the most stable computed form (eV per atom) = 0.0000

a b c (Å): 6.297 6.297 6.297
angles (deg): 90.00 90.00 90.00
Space group F-43m (No. 216)
Inequivalent atoms, fractional coordinates:
Ho 0.000 0.000 0.000 [4 per cell]
Pu 0.000 0.000 0.500 [4 per cell]
Fe 0.250 0.250 0.250 [4 per cell]